VASP calculation (GGA-PBE) on KSeBr2F after structural relaxation.

Values from the calculation:
Crystal system: tetragonal
ΔE_f (raw), eV per atom: 0.150
V, Å³/atom: 53.27
SG: P4/mmm (123)
Calculated density, g/cm3: 1.85
N(E_F), states/eV/f.u.: 11.37
Energy relative to the lowest polymorph listed for this composition, meV/atom: 783

Cell and atoms, written as POSCAR:
```
KSeBr2F
1.0
6.173 0.000 0.000
0.000 6.173 0.000
0.000 0.000 6.990
F Br K Se
1 2 1 1
direct
0.500 0.500 0.500
0.500 0.000 0.000
0.000 0.500 0.000
0.000 0.000 0.000
0.000 0.000 0.500
```